(1)
# Pu2GaRe | Alexandria | GGA-PBE | optimized geometry
# - ΔH_f (0 K): 1.36 eV/f.u.
# - Magnetic moment: 0.0 μB/f.u.
# - Energy above the lowest structure with this stoichiometry: 336.6 meV per atom
data_Pu2GaRe
_chemical_formula_sum 'Pu2 Ga1 Re1'
_symmetry_space_group_name_H-M 'P 4/m m m'
_symmetry_Int_Tables_number 123
_symmetry_space_group_name_Hall '-P 4 2'
_cell_length_a 2.5508
_cell_length_b 2.5508
_cell_length_c 10.2372
_cell_angle_alpha 90.00
_cell_angle_beta 90.00
_cell_angle_gamma 90.00
loop_
_atom_site_label
_atom_site_type_symbol
_atom_site_fract_x
_atom_site_fract_y
_atom_site_fract_z
_atom_site_occupancy
Pu1 Pu 0.0000 0.0000 0.2455 1
Ga1 Ga 0.5000 0.5000 0.0000 1
Re1 Re 0.5000 0.5000 0.5000 1

---

(2)
# Pu2GaRe | Alexandria | GGA-PBE | optimized geometry
# - ΔH_f (0 K): 1.56 eV/f.u.
# - Magnetic moment: 9.4 μB/f.u.
# - Energy above the lowest structure with this stoichiometry: 386.3 meV per atom
data_Pu2GaRe
_chemical_formula_sum 'Pu6 Ga3 Re3'
_symmetry_space_group_name_H-M 'R -3 m'
_symmetry_Int_Tables_number 166
_symmetry_space_group_name_Hall '-R 3 2"'
_cell_length_a 2.8672
_cell_length_b 2.8672
_cell_length_c 33.9579
_cell_angle_alpha 90.00
_cell_angle_beta 90.00
_cell_angle_gamma 120.00
loop_
_atom_site_label
_atom_site_type_symbol
_atom_site_fract_x
_atom_site_fract_y
_atom_site_fract_z
_atom_site_occupancy
Pu1 Pu 0.0000 0.0000 0.0907 1
Ga1 Ga 0.0000 0.0000 0.0000 1
Re1 Re 0.0000 0.0000 0.5000 1

---

(3)
# Pu4Ga12Re | Alexandria | GGA-PBE | optimized geometry
# - ΔH_f (0 K): -6.02 eV/f.u.
# - Magnetic moment: 22.1 μB/f.u.
data_Pu4Ga12Re
_chemical_formula_sum 'Pu8 Ga24 Re2'
_symmetry_space_group_name_H-M 'I m -3 m'
_symmetry_Int_Tables_number 229
_symmetry_space_group_name_Hall '-I 4 2 3'
_cell_length_a 8.6631
_cell_length_b 8.6631
_cell_length_c 8.6631
_cell_angle_alpha 90.00
_cell_angle_beta 90.00
_cell_angle_gamma 90.00
loop_
_atom_site_label
_atom_site_type_symbol
_atom_site_fract_x
_atom_site_fract_y
_atom_site_fract_z
_atom_site_occupancy
Pu1 Pu 0.2500 0.2500 0.2500 1
Ga1 Ga 0.0000 0.0000 0.2897 1
Ga2 Ga 0.0000 0.2500 0.5000 1
Re1 Re 0.0000 0.0000 0.0000 1

---

(4)
# Pu2GaRe | Alexandria | GGA-PBE | optimized geometry
# - ΔH_f (0 K): 0.01 eV/f.u.
# - Magnetic moment: 8.9 μB/f.u.
# - Energy above the lowest structure with this stoichiometry: 0.0 meV per atom
data_Pu2GaRe
_chemical_formula_sum 'Pu2 Ga1 Re1'
_symmetry_space_group_name_H-M 'P 4/m m m'
_symmetry_Int_Tables_number 123
_symmetry_space_group_name_Hall '-P 4 2'
_cell_length_a 4.3202
_cell_length_b 4.3202
_cell_length_c 4.1967
_cell_angle_alpha 90.00
_cell_angle_beta 90.00
_cell_angle_gamma 90.00
loop_
_atom_site_label
_atom_site_type_symbol
_atom_site_fract_x
_atom_site_fract_y
_atom_site_fract_z
_atom_site_occupancy
Pu1 Pu 0.0000 0.5000 0.0000 1
Ga1 Ga 0.0000 0.0000 0.5000 1
Re1 Re 0.5000 0.5000 0.5000 1

---

Q: magnetic moment of number 4 (Pu2GaRe)?
A: 8.9 μB/f.u.

---

Repeat the second record exactly.
# Pu2GaRe | Alexandria | GGA-PBE | optimized geometry
# - ΔH_f (0 K): 1.56 eV/f.u.
# - Magnetic moment: 9.4 μB/f.u.
# - Energy above the lowest structure with this stoichiometry: 386.3 meV per atom
data_Pu2GaRe
_chemical_formula_sum 'Pu6 Ga3 Re3'
_symmetry_space_group_name_H-M 'R -3 m'
_symmetry_Int_Tables_number 166
_symmetry_space_group_name_Hall '-R 3 2"'
_cell_length_a 2.8672
_cell_length_b 2.8672
_cell_length_c 33.9579
_cell_angle_alpha 90.00
_cell_angle_beta 90.00
_cell_angle_gamma 120.00
loop_
_atom_site_label
_atom_site_type_symbol
_atom_site_fract_x
_atom_site_fract_y
_atom_site_fract_z
_atom_site_occupancy
Pu1 Pu 0.0000 0.0000 0.0907 1
Ga1 Ga 0.0000 0.0000 0.0000 1
Re1 Re 0.0000 0.0000 0.5000 1

---

Q: Number 1 is which compound?
A: Pu2GaRe